Record 1
Compound: RbTaGa2Ru
Source: the Alexandria database
Functional: PBE
Structure: relaxed

**Formation energy**: 0.5110 eV per atom

a = 5.2074 Å, b = 5.1100 Å, c = 5.2074 Å
α = 90.00°, β = 90.00°, γ = 90.00°
Last column: magnetic moment on the atom in μB.
Positions (direct):
Ga 0.5000 0.0000 0.0000  -0.01
Ga 0.0000 0.0000 0.5000  -0.03
Rb 0.5000 0.5000 0.5000  0.03
Ru 0.0000 0.0000 0.0000  -0.01
Ta 0.0000 0.5000 0.0000  1.21


Record 2
Compound: GeHPt
Source: the Alexandria database
Functional: PBE
Structure: relaxed

**E_tot**: -14.17 eV per formula unit

a = 3.3610 Å, b = 3.3610 Å, c = 4.3489 Å
α = 112.73°, β = 112.73°, γ = 90.00°
Positions (direct):
H 0.2141 0.2141 0.4282
Pt 0.9925 0.9925 0.9849
Ge 0.6434 0.6434 0.2869


Record 3
Compound: TiBe2GeIr
Source: the Alexandria database
Functional: PBE
Structure: relaxed

**Formation energy**: 1.3012 eV per atom

a = 4.5090 Å, b = 4.5385 Å, c = 4.5090 Å
α = 90.00°, β = 90.00°, γ = 90.00°
Positions (direct):
Be 0.0000 0.0000 0.5000
Be 0.5000 0.0000 0.0000
Ge 0.5000 0.5000 0.5000
Ti 0.0000 0.0000 0.0000
Ir 0.0000 0.5000 0.0000


Record 4
Compound: La3PmPt
Source: the Alexandria database
Functional: PBE
Structure: relaxed

**Formation energy**: -0.3827 eV per atom

a = 6.3892 Å, b = 6.9427 Å, c = 8.0672 Å
α = 90.00°, β = 90.00°, γ = 90.00°
Positions (direct):
Pt 0.1759 0.6729 0.7007
Pt 0.6759 0.6799 0.2008
La 0.4235 0.8689 0.4508
La 0.9209 0.0298 0.7008
La 0.9236 0.4839 0.9508
La 0.4235 0.8689 0.9507
La 0.9235 0.4839 0.4508
La 0.4208 0.3230 0.2008
Pm 0.4344 0.3275 0.7008
Pm 0.9344 0.0253 0.2008


Record 5
Compound: Tb2YHo
Source: the Alexandria database
Functional: PBE
Structure: relaxed

**Formation energy**: 0.1394 eV per atom

a = 5.6738 Å, b = 5.6738 Å, c = 5.6738 Å
α = 60.00°, β = 60.00°, γ = 60.00°
Positions (direct):
Tb 0.2500 0.2500 0.2500
Tb 0.7500 0.7500 0.7500
Ho 0.0000 0.0000 0.0000
Y 0.5000 0.5000 0.5000


Record 6
Compound: PuZnInRu
Source: the Alexandria database
Functional: PBE
Structure: relaxed

**Formation energy**: 0.0130 eV per atom

a = 4.7845 Å, b = 4.7845 Å, c = 4.7845 Å
α = 60.00°, β = 60.00°, γ = 60.00°
Last column: magnetic moment on the atom in μB.
Positions (direct):
Zn 0.7500 0.7500 0.7500  0.04
Pu 0.0000 0.0000 0.0000  5.08
Ru 0.2500 0.2500 0.2500  -0.37
In 0.5000 0.5000 0.5000  0.01


Record 7
Compound: BaLi4Ga2
Source: the Alexandria database
Functional: PBE
Structure: relaxed

**Formation energy**: -0.1668 eV per atom

a = 5.7680 Å, b = 7.1208 Å, c = 5.8025 Å
α = 127.85°, β = 120.03°, γ = 90.00°
Last column: magnetic moment on the atom in μB.
Positions (direct):
Ga 0.7501 0.5002 0.0005  0.01
Ga 0.2499 0.4998 0.9995  0.01
Li 0.6952 0.3904 0.3905  0.03
Li 0.3048 0.6096 0.6095  0.03
Li 0.3048 0.0000 0.6095  0.03
Li 0.6952 0.0000 0.3905  0.03
Ba 0.0000 0.0000 0.0000  0.09


Record 8
Compound: RbPSCl2
Source: the Alexandria database
Functional: PBE
Structure: relaxed

**Uncorrected formation energy**: -0.6844 eV/atom

a = 5.2262 Å, b = 5.2262 Å, c = 4.5108 Å
α = 90.00°, β = 90.00°, γ = 90.00°
Positions (direct):
S 0.0000 0.0000 0.5000
Cl 0.0000 0.5000 0.0000
Cl 0.5000 0.0000 0.0000
Rb 0.5000 0.5000 0.5000
P 0.0000 0.0000 0.0000


What is the formula in the first record? RbTaGa2Ru


Which formula does entry 1 have? RbTaGa2Ru